Record 1
Compound: Li2SiNi6
Source: Alexandria via LeMat-Bulk
Functional: PBE
Structure: relaxed

- E_tot (eV for the cell shown) = -91.60
- formation energy without anion corrections (meV per atom) = -207
- V (Å³/atom) = 10.7

abc: 7.2202 7.2202 3.7114
angles: 90.00 90.00 90.00
Space group P4_2/mnm (No. 136)
Asymmetric unit:
Li1 0.1951 0.1951 0.0000
Si1 0.0000 0.0000 0.5000
Ni1 0.0243 0.3316 0.5000
Ni2 0.1348 0.8652 0.0000

Record 2
Compound: In3RhSe
Source: Alexandria via LeMat-Bulk
Functional: PBE
Structure: relaxed

- E_tot (eV for the cell shown) = -19.92
- formation energy without anion corrections (meV per atom) = -174
- polymorph energy (0 for the lowest one) (meV/atom) = 0
- V (Å³/atom) = 27.1

abc: 5.1371 5.1371 5.1371
angles: 90.00 90.00 90.00
Space group Pm-3m (No. 221)
Asymmetric unit:
In1 0.0000 0.0000 0.5000
Rh1 0.0000 0.0000 0.0000
Se1 0.5000 0.5000 0.5000

> The lowest formation energy without anion corrections belongs to which entry?

Li2SiNi6

> What is the formula in the first record?

Li2SiNi6

Please write out number 1 again, unchanged.
Compound: Li2SiNi6
Source: Alexandria via LeMat-Bulk
Functional: PBE
Structure: relaxed

- E_tot (eV for the cell shown) = -91.60
- formation energy without anion corrections (meV per atom) = -207
- V (Å³/atom) = 10.7

abc: 7.2202 7.2202 3.7114
angles: 90.00 90.00 90.00
Space group P4_2/mnm (No. 136)
Asymmetric unit:
Li1 0.1951 0.1951 0.0000
Si1 0.0000 0.0000 0.5000
Ni1 0.0243 0.3316 0.5000
Ni2 0.1348 0.8652 0.0000

Copy entry 1 word for word.
Compound: Li2SiNi6
Source: Alexandria via LeMat-Bulk
Functional: PBE
Structure: relaxed

- E_tot (eV for the cell shown) = -91.60
- formation energy without anion corrections (meV per atom) = -207
- V (Å³/atom) = 10.7

abc: 7.2202 7.2202 3.7114
angles: 90.00 90.00 90.00
Space group P4_2/mnm (No. 136)
Asymmetric unit:
Li1 0.1951 0.1951 0.0000
Si1 0.0000 0.0000 0.5000
Ni1 0.0243 0.3316 0.5000
Ni2 0.1348 0.8652 0.0000